# K2PtAuN | the Alexandria database | GGA-PBE | relaxed
# Energy above the lowest structure with this stoichiometry: 0.104 eV per atom
# V: 29.84 A^3/atom
# Formation energy without anion corrections: -0.37 eV/f.u.
# M_tot: 0.287 μB per cell
data_K2PtAuN
_cell_length_a 6.3476
_cell_length_b 6.3476
_cell_length_c 3.7029
_cell_angle_alpha 90.00
_cell_angle_beta 90.00
_cell_angle_gamma 90.00
_space_group_name_H-M_alt 'P 4/m m m'
_space_group_IT_number 123
_space_group_name_Hall '-P 4 2'
loop_
_atom_site_label
_atom_site_type_symbol
_atom_site_fract_x
_atom_site_fract_y
_atom_site_fract_z
K1 K 0.0000 0.5000 0.0000
Pt1 Pt 0.0000 0.0000 0.0000
Au1 Au 0.5000 0.5000 0.5000
N1 N 0.0000 0.0000 0.5000


# CaTlNiPd2 | the Alexandria database | GGA-PBE | relaxed
# V: 25.01 A^3/atom
# Formation energy from the elements: 338 meV/atom
# M_tot: 0.000 μB per cell
data_CaTlNiPd2
_cell_length_a 5.1043
_cell_length_b 5.1043
_cell_length_c 4.8002
_cell_angle_alpha 90.00
_cell_angle_beta 90.00
_cell_angle_gamma 90.00
_space_group_name_H-M_alt 'P 4/m m m'
_space_group_IT_number 123
_space_group_name_Hall '-P 4 2'
loop_
_atom_site_label
_atom_site_type_symbol
_atom_site_fract_x
_atom_site_fract_y
_atom_site_fract_z
Ca1 Ca 0.0000 0.0000 0.0000
Tl1 Tl 0.5000 0.5000 0.5000
Ni1 Ni 0.5000 0.5000 0.0000
Pd1 Pd 0.0000 0.5000 0.5000


# Pr6IrAu | the Alexandria database | GGA-PBE | relaxed
# V: 35.83 A^3/atom
# Formation energy from the elements: -257 meV/atom
# M_tot: 0.000 μB per cell
data_Pr6IrAu
_cell_length_a 6.9969
_cell_length_b 6.9969
_cell_length_c 20.2790
_cell_angle_alpha 90.00
_cell_angle_beta 90.00
_cell_angle_gamma 120.00
_space_group_name_H-M_alt 'R -3'
_space_group_IT_number 148
_space_group_name_Hall '-R 3'
loop_
_atom_site_label
_atom_site_type_symbol
_atom_site_fract_x
_atom_site_fract_y
_atom_site_fract_z
Pr1 Pr 0.0050 0.3533 0.4149
Ir1 Ir 0.0000 0.0000 0.0000
Au1 Au 0.0000 0.0000 0.5000


# AcMg3Se4O12 | the Alexandria database | GGA-PBE | relaxed
# V: 13.82 A^3/atom
# Formation energy without anion corrections: -28.07 eV/f.u.
# M_tot: 0.000 μB per cell
data_AcMg3Se4O12
_cell_length_a 10.8291
_cell_length_b 10.8291
_cell_length_c 8.1629
_cell_angle_alpha 90.00
_cell_angle_beta 90.00
_cell_angle_gamma 120.00
_space_group_name_H-M_alt 'R 3 2'
_space_group_IT_number 155
_space_group_name_Hall 'R 3 2"'
loop_
_atom_site_label
_atom_site_type_symbol
_atom_site_fract_x
_atom_site_fract_y
_atom_site_fract_z
Ac1 Ac 0.0000 0.0000 0.0000
Mg1 Mg 0.0000 0.5783 0.0000
Se1 Se 0.0000 0.0000 0.5000
Se2 Se 0.0000 0.3909 0.5000
O1 O 0.0000 0.5509 0.5000
O2 O 0.0000 0.8280 0.5000
O3 O 0.0584 0.1979 0.2022


# Sr2PaAuO6 | the Alexandria database | GGA-PBE | relaxed
# V: 16.26 A^3/atom
# Formation energy without anion corrections: -22.80 eV/f.u.
# M_tot: 0.896 μB per cell
data_Sr2PaAuO6
_cell_length_a 6.0118
_cell_length_b 6.0118
_cell_length_c 4.4988
_cell_angle_alpha 90.00
_cell_angle_beta 90.00
_cell_angle_gamma 90.00
_space_group_name_H-M_alt 'P 4 m m'
_space_group_IT_number 99
_space_group_name_Hall 'P 4 -2'
loop_
_atom_site_label
_atom_site_type_symbol
_atom_site_fract_x
_atom_site_fract_y
_atom_site_fract_z
Sr1 Sr 0.0000 0.5000 0.0000
Pa1 Pa 0.0000 0.0000 0.5724
Au1 Au 0.5000 0.5000 0.5941
O1 O 0.0000 0.0000 0.0834
O2 O 0.2464 0.2464 0.6210
O3 O 0.5000 0.5000 0.0965


# BaZn2GaRh | the Alexandria database | GGA-PBE | relaxed
# V: 23.55 A^3/atom
# Formation energy from the elements: -433 meV/atom
# M_tot: 0.000 μB per cell
data_BaZn2GaRh
_cell_length_a 4.9498
_cell_length_b 4.9498
_cell_length_c 4.8069
_cell_angle_alpha 90.00
_cell_angle_beta 90.00
_cell_angle_gamma 90.00
_space_group_name_H-M_alt 'P 4/m m m'
_space_group_IT_number 123
_space_group_name_Hall '-P 4 2'
loop_
_atom_site_label
_atom_site_type_symbol
_atom_site_fract_x
_atom_site_fract_y
_atom_site_fract_z
Ba1 Ba 0.0000 0.0000 0.0000
Zn1 Zn 0.0000 0.5000 0.5000
Ga1 Ga 0.5000 0.5000 0.0000
Rh1 Rh 0.5000 0.5000 0.5000